1.
The following is a GGA-PBE calculation of a relaxed IrPtCl6 crystal, from Alexandria.

Cell and atoms, written as CIF:
```
data_IrPtCl6
_chemical_formula_sum 'Ir1 Pt1 Cl6'
_cell_length_a 6.4444
_cell_length_b 6.4444
_cell_length_c 7.0489
_cell_angle_alpha 106.07
_cell_angle_beta 106.07
_cell_angle_gamma 113.78
_space_group_name_H-M_alt 'P 1'
_space_group_IT_number 1
_space_group_name_Hall 'P 1'
loop_
_atom_site_label
_atom_site_type_symbol
_atom_site_fract_x
_atom_site_fract_y
_atom_site_fract_z
Ir1 Ir 0.0000 0.0000 0.0000
Pt1 Pt 0.5000 0.5000 0.5000
Cl1 Cl 0.6000 0.8886 0.7449
Cl2 Cl 0.8886 0.6000 0.7449
Cl3 Cl 0.1114 0.4000 0.2551
Cl4 Cl 0.4000 0.1114 0.2551
Cl5 Cl 0.1885 0.1885 0.8113
Cl6 Cl 0.8115 0.8115 0.1887
```

Properties
Magnetization (μB per cell): 1.0
E_form (uncorrected) (eV/atom): -0.367
Fermi-level density of states (states/eV/f.u.): 6.3
Calculated volume (Å³/atom): 28.87
Total DFT energy (no corrections) (eV/atom): -3.615

---

2.
The following is a GGA-PBE calculation of a relaxed Ir3PtCl crystal, from Alexandria.

Cell and atoms, written as CIF:
```
data_Ir3PtCl
_chemical_formula_sum 'Ir3 Pt1 Cl1'
_cell_length_a 4.8807
_cell_length_b 4.8807
_cell_length_c 4.8807
_cell_angle_alpha 90.00
_cell_angle_beta 90.00
_cell_angle_gamma 90.00
_space_group_name_H-M_alt 'P 1'
_space_group_IT_number 1
_space_group_name_Hall 'P 1'
loop_
_atom_site_label
_atom_site_type_symbol
_atom_site_fract_x
_atom_site_fract_y
_atom_site_fract_z
Ir1 Ir 0.0000 0.5000 0.0000
Ir2 Ir 0.0000 0.0000 0.5000
Ir3 Ir 0.5000 0.0000 0.0000
Pt1 Pt 0.0000 0.0000 0.0000
Cl1 Cl 0.5000 0.5000 0.5000
```

Properties
Magnetization (μB per cell): 4.9
Energy above the most stable polymorph in this dataset (meV per atom): 567.2
E_form (uncorrected) (eV/atom): 2.170
Fermi-level density of states (states/eV/f.u.): 15.2
Calculated volume (Å³/atom): 23.25
Total DFT energy (no corrections) (eV/atom): -4.724

---

3.
The following is a GGA-PBE calculation of a relaxed Ir3PtCl crystal, from Alexandria.

Cell and atoms, written as CIF:
```
data_Ir3PtCl
_chemical_formula_sum 'Ir3 Pt1 Cl1'
_cell_length_a 4.3910
_cell_length_b 4.3910
_cell_length_c 4.3910
_cell_angle_alpha 90.00
_cell_angle_beta 90.00
_cell_angle_gamma 90.00
_space_group_name_H-M_alt 'P 1'
_space_group_IT_number 1
_space_group_name_Hall 'P 1'
loop_
_atom_site_label
_atom_site_type_symbol
_atom_site_fract_x
_atom_site_fract_y
_atom_site_fract_z
Ir1 Ir 0.0000 0.5000 0.0000
Ir2 Ir 0.0000 0.0000 0.5000
Ir3 Ir 0.5000 0.0000 0.0000
Pt1 Pt 0.5000 0.5000 0.5000
Cl1 Cl 0.0000 0.0000 0.0000
```

Properties
Magnetization (μB per cell): 1.1
Energy above the most stable polymorph in this dataset (meV per atom): 0.0
E_form (uncorrected) (eV/atom): 1.603
Fermi-level density of states (states/eV/f.u.): 8.1
Calculated volume (Å³/atom): 16.93
Total DFT energy (no corrections) (eV/atom): -5.291

---

4.
The following is a GGA-PBE calculation of a relaxed IrPtRhCl2 crystal, from Alexandria.

Cell and atoms, written as CIF:
```
data_IrPtRhCl2
_chemical_formula_sum 'Ir1 Pt1 Rh1 Cl2'
_cell_length_a 4.5318
_cell_length_b 5.3332
_cell_length_c 4.5318
_cell_angle_alpha 90.00
_cell_angle_beta 90.00
_cell_angle_gamma 90.00
_space_group_name_H-M_alt 'P 1'
_space_group_IT_number 1
_space_group_name_Hall 'P 1'
loop_
_atom_site_label
_atom_site_type_symbol
_atom_site_fract_x
_atom_site_fract_y
_atom_site_fract_z
Ir1 Ir 0.5000 0.5000 0.5000
Rh1 Rh 0.0000 0.5000 0.0000
Pt1 Pt 0.0000 0.0000 0.0000
Cl1 Cl 0.0000 0.0000 0.5000
Cl2 Cl 0.5000 0.0000 0.0000
```

Properties
Magnetization (μB per cell): 3.3
E_form (uncorrected) (eV/atom): 1.413
Fermi-level density of states (states/eV/f.u.): 6.8
Calculated volume (Å³/atom): 21.91
Total DFT energy (no corrections) (eV/atom): -3.776